Record 1
Below is crystalline VCo2As2 at its relaxed geometry, with properties calculated at the PBE level.

Results
For the formation energy, the calculation gives -0.064 eV per atom. As for the total moment: 2.35 μB/cell. The total energy is -6.5904 eV/atom. Its density of states at the Fermi level is 11.34 states/eV per cell.

Cell: 6.836 6.836 2.789 Å, 90.00 90.00 90.00°
Space group P4/mbm (No. 127)
Symmetry-distinct sites (fractional):
1 V 0.000 0.000 0.000 [2 per cell]
2 Co 0.140 0.360 0.500 [4 per cell]
3 As 0.158 0.658 0.000 [4 per cell]



Record 2
Below is crystalline CoAsW3 at its relaxed geometry, with properties calculated at the PBE level.

Results
For the formation energy, the calculation gives 1.936 eV per atom. As for the total moment: 0.00 μB/cell. The total energy is -8.1867 eV/atom. Its density of states at the Fermi level is 9.21 states/eV per cell. The calculation puts the relative energy among the computed polymorphs at 2.336 eV per formula unit.

Cell: 4.552 4.552 4.552 Å, 90.00 90.00 90.00°
Space group Pm-3m (No. 221)
Symmetry-distinct sites (fractional):
1 Co 0.000 0.000 0.000 [1 per cell]
2 As 0.500 0.500 0.500 [1 per cell]
3 W 0.000 0.500 0.500 [3 per cell]



Record 3
Below is crystalline CoAs4W at its relaxed geometry, with properties calculated at the PBE level.

Results
For the formation energy, the calculation gives 1.110 eV per atom. As for the total moment: 6.23 μB/cell. The total energy is -5.3328 eV/atom. Its density of states at the Fermi level is 26.29 states/eV per cell.

Cell: 7.484 7.484 7.484 Å, 90.00 90.00 90.00°
Space group F-43m (No. 216)
Symmetry-distinct sites (fractional):
1 Co 0.000 0.000 0.000 [4 per cell]
2 As 0.125 0.125 0.375 [16 per cell]
3 W 0.250 0.250 0.750 [4 per cell]



Record 4
Below is crystalline CoAsW at its relaxed geometry, with properties calculated at the PBE level.

Results
For the formation energy, the calculation gives 0.232 eV per atom. As for the total moment: 0.00 μB/cell. The total energy is -8.0042 eV/atom. Its density of states at the Fermi level is 4.49 states/eV per cell.

Cell: 2.974 2.974 9.349 Å, 90.00 90.00 90.00°
Space group I4mm (No. 107)
Symmetry-distinct sites (fractional):
1 Co 0.000 0.000 0.000 [2 per cell]
2 As 0.000 0.000 0.356 [2 per cell]
3 W 0.000 0.000 0.673 [2 per cell]